1.
Computed, not measured: BaBr2F6 after structural relaxation at the PBE level of DFT.

Output
calculated total energy	-3.63	eV/atom
E_form (uncorrected)	-1799	meV/atom

Cell: 7.8043 7.9219 7.9966 Å, 93.09 116.76 113.96°
Fractional coordinates of all 18 atoms:
Ba1 0.0379 0.4016 0.2401
Ba2 0.9621 0.5984 0.7599
Br1 0.1918 0.9565 0.4205
Br2 0.4180 0.1889 0.7908
Br3 0.5820 0.8111 0.2092
Br4 0.8082 0.0435 0.5795
F1 0.0747 0.6929 0.1106
F2 0.1285 0.7199 0.5124
F3 0.2419 0.1771 0.3259
F4 0.2716 0.9838 0.8722
F5 0.3918 0.6436 0.9403
F6 0.4521 0.6033 0.2991
F7 0.5479 0.3967 0.7009
F8 0.6082 0.3564 0.0597
F9 0.7284 0.0162 0.1278
F10 0.7581 0.8229 0.6741
F11 0.8715 0.2801 0.4876
F12 0.9253 0.3071 0.8894

2.
Computed, not measured: HfAl4Sb after structural relaxation at the PBE level of DFT.

Output
calculated total energy	-4.96	eV/atom
E_form (uncorrected)	-115	meV/atom

Cell: 5.3697 5.3697 5.3697 Å, 60.00 60.00 60.00°
Fractional coordinates of all 6 atoms:
Hf1 0.0000 0.0000 0.0000
Al1 0.3742 0.3742 0.3742
Al2 0.3742 0.3742 0.8773
Al3 0.3742 0.8773 0.3742
Al4 0.8773 0.3742 0.3742
Sb1 0.7500 0.7500 0.7500

3.
Computed, not measured: Be2CrHg after structural relaxation at the PBE level of DFT.

Output
calculated total energy	-3.88	eV/atom

Cell: 4.8929 4.8929 4.8929 Å, 142.76 131.66 62.56°
Fractional coordinates of all 4 atoms:
Be1 0.0000 0.0000 0.0000
Be2 0.7904 0.2904 0.5000
Cr1 0.2590 0.7590 0.5000
Hg1 0.5325 0.5325 0.0000

4.
Computed, not measured: P2IrPt after structural relaxation at the PBE level of DFT.

Output
calculated total energy	-6.47	eV/atom

Cell: 7.3461 7.3461 7.3461 Å, 24.17 24.17 24.17°
Fractional coordinates of all 4 atoms:
P1 0.2489 0.2489 0.2489
P2 0.7511 0.7511 0.7511
Ir1 0.5000 0.5000 0.5000
Pt1 0.0000 0.0000 0.0000

5.
Computed, not measured: CrHg3 after structural relaxation at the PBE level of DFT.

Output
calculated total energy	-2.30	eV/atom

Cell: 3.5621 3.7950 6.4578 Å, 90.00 90.00 90.00°
Fractional coordinates of all 4 atoms:
Cr1 0.0000 0.0000 0.0000
Hg1 0.0000 0.0000 0.5000
Hg2 0.5000 0.5000 0.2335
Hg3 0.5000 0.5000 0.7665

6.
Computed, not measured: ThNiS after structural relaxation at the PBE level of DFT.

Output
calculated total energy	-6.82	eV/atom
E_form (uncorrected)	-1047	meV/atom

Cell: 4.1312 4.1312 10.4565 Å, 101.47 101.47 60.00°
Fractional coordinates of all 6 atoms:
Th1 0.0642 0.0642 0.1913
Th2 0.9358 0.9358 0.8087
Ni1 0.3406 0.3406 0.0215
Ni2 0.6594 0.6594 0.9785
S1 0.2216 0.2216 0.6672
S2 0.7784 0.7784 0.3328

7.
Computed, not measured: Dy2Er12Th5 after structural relaxation at the PBE level of DFT.

Output
calculated total energy	-5.10	eV/atom

Cell: 9.9208 9.9208 10.1558 Å, 111.68 111.68 41.37°
Fractional coordinates of all 19 atoms:
Dy1 0.2162 0.7838 0.0000
Dy2 0.7838 0.2162 0.0000
Er1 0.0043 0.0043 0.3242
Er2 0.0850 0.5820 0.4837
Er3 0.0971 0.5889 0.1373
Er4 0.4111 0.9029 0.8627
Er5 0.4180 0.9150 0.5163
Er6 0.4716 0.4716 0.7620
Er7 0.5284 0.5284 0.2380
Er8 0.5820 0.0850 0.4837
Er9 0.5889 0.0971 0.1373
Er10 0.9029 0.4111 0.8627
Er11 0.9150 0.4180 0.5163
Er12 0.9957 0.9957 0.6758
Th1 0.1791 0.1791 0.2098
Th2 0.3131 0.3131 0.8191
Th3 0.5000 0.5000 0.5000
Th4 0.6869 0.6869 0.1809
Th5 0.8209 0.8209 0.7902

8.
Computed, not measured: La6NdDy3 after structural relaxation at the PBE level of DFT.

Output
calculated total energy	-4.67	eV/atom

Cell: 10.8558 11.7766 5.5877 Å, 90.00 90.00 90.00°
Fractional coordinates of all 20 atoms:
La1 0.1166 0.2020 0.0000
La2 0.1460 0.6926 0.5000
La3 0.1521 0.3947 0.5000
La4 0.3479 0.8947 0.5000
La5 0.3540 0.1926 0.5000
La6 0.3834 0.7020 0.0000
La7 0.6166 0.2980 0.0000
La8 0.6460 0.8074 0.5000
La9 0.6521 0.1053 0.5000
La10 0.8479 0.6053 0.5000
La11 0.8540 0.3074 0.5000
La12 0.8834 0.7980 0.0000
Nd1 0.0000 0.0000 0.5000
Nd2 0.5000 0.5000 0.5000
Dy1 0.0000 0.5000 0.0000
Dy2 0.1709 0.9145 0.0000
Dy3 0.3291 0.4145 0.0000
Dy4 0.5000 0.0000 0.0000
Dy5 0.6709 0.5855 0.0000
Dy6 0.8291 0.0855 0.0000